## A
A relaxed ZrMo2Rh crystal. Source: the Alexandria database, functional PBE.

```
ZrMo2Rh
1.0
0.0000 3.2175 3.2175
3.2175 0.0000 3.2175
3.2175 3.2175 0.0000
Zr Mo Rh
1 2 1
Direct
0.0000 0.0000 0.0000 Zr
0.2500 0.2500 0.2500 Mo
0.7500 0.7500 0.7500 Mo
0.5000 0.5000 0.5000 Rh
```

The value obtained for the density of states at the Fermi level is 1.520 states/eV per atom. The magnetization comes out at 0.000 μB/atom.



## B
A relaxed ZrMo2Rh crystal. Source: the Alexandria database, functional PBE.

```
ZrMo2Rh
1.0
2.7827 0.0000 0.0000
0.0000 2.7827 0.0000
0.0000 0.0000 8.7218
Zr Mo Rh
1 2 1
Direct
0.0000 0.0000 0.0000 Zr
0.5000 0.5000 0.2780 Mo
0.5000 0.5000 0.7220 Mo
0.0000 0.0000 0.5000 Rh
```

The value obtained for the density of states at the Fermi level is 0.894 states/eV per atom. The magnetization comes out at 0.000 μB/atom.



## C
A relaxed ZrMo2Rh crystal. Source: the Alexandria database, functional PBE.

```
ZrMo2Rh
1.0
-1.6427 2.3462 4.3958
1.6427 -2.3462 4.3958
1.6427 2.3462 -4.3958
Zr Mo Rh
1 2 1
Direct
0.0000 0.0000 0.0000 Zr
0.2640 0.7640 0.5000 Mo
0.4896 0.4896 0.0000 Mo
0.7419 0.2419 0.5000 Rh
```

The value obtained for the density of states at the Fermi level is 1.122 states/eV per atom. The magnetization comes out at 0.000 μB/atom.



## D
A relaxed ZrMo2Rh crystal. Source: the Alexandria database, functional PBE.

```
ZrMo2Rh
1.0
-3.7812 3.7812 2.5680
3.7812 -3.7812 2.5680
3.7812 3.7812 -2.5680
Zr Mo Rh
2 4 2
Direct
0.0000 0.0000 0.0000 Zr
0.7500 0.2500 0.5000 Zr
0.1578 0.6250 0.0328 Mo
0.3750 0.4078 0.5328 Mo
0.5922 0.1250 0.9672 Mo
0.8750 0.8422 0.4672 Mo
0.2500 0.7500 0.5000 Rh
0.5000 0.5000 0.0000 Rh
```

The value obtained for the density of states at the Fermi level is 0.714 states/eV per atom. The magnetization comes out at 0.000 μB/atom.



Least stable of them? D.